1.
{"formula": "LiPuSb2", "functional": "PBE", "state": "optimized geometry", "spacegroup": "P4/mmm (123)", "de_polymorph_mev_per_atom": 118, "magnetic_moment_mub_per_cell": 5.9, "dft_energy_ha_per_atom": -0.2417, "raw_formation_energy_ev_per_atom": -0.455, "cell": [[3.340, 0.000, 0.000], [0.000, 3.340, 0.000], [0.000, 0.000, 8.844]], "species": ["Li", "Pu", "Sb", "Sb"], "frac_coords": [[0.000, 0.000, 0.000], [0.000, 0.000, 0.500], [0.500, 0.500, 0.237], [0.500, 0.500, 0.763]]}

2.
{"formula": "La3CuCl", "functional": "PBE", "state": "optimized geometry", "spacegroup": "Pm-3m (221)", "de_polymorph_mev_per_atom": 0, "magnetic_moment_mub_per_cell": 0.0, "dft_energy_ha_per_atom": -0.1629, "raw_formation_energy_ev_per_atom": -0.288, "cell": [[5.416, 0.000, 0.000], [0.000, 5.416, 0.000], [0.000, 0.000, 5.416]], "species": ["La", "La", "La", "Cu", "Cl"], "frac_coords": [[0.000, 0.000, 0.500], [0.000, 0.500, 0.000], [0.500, 0.000, 0.000], [0.500, 0.500, 0.500], [0.000, 0.000, 0.000]]}

3.
{"formula": "ScCuGe2Mo", "functional": "PBE", "state": "optimized geometry", "spacegroup": "P4/mmm (123)", "e_form_ev_per_fu": 3.184, "magnetic_moment_mub_per_cell": 1.6, "dft_energy_ha_per_atom": -0.2007, "cell": [[4.509, 0.000, 0.000], [0.000, 4.509, 0.000], [0.000, 0.000, 4.815]], "species": ["Sc", "Cu", "Ge", "Ge", "Mo"], "frac_coords": [[0.000, 0.000, 0.000], [0.500, 0.500, 0.500], [0.000, 0.500, 0.500], [0.500, 0.000, 0.500], [0.500, 0.500, 0.000]]}

4.
{"formula": "Ba2LiH", "functional": "PBE", "state": "optimized geometry", "spacegroup": "P4/mmm (123)", "de_polymorph_mev_per_atom": 177, "magnetic_moment_mub_per_cell": 0.0, "dft_energy_ha_per_atom": -0.0801, "cell": [[3.787, 0.000, 0.000], [0.000, 3.787, 0.000], [0.000, 0.000, 8.817]], "species": ["Ba", "Ba", "Li", "H"], "frac_coords": [[0.000, 0.000, 0.204], [0.000, 0.000, 0.796], [0.500, 0.500, 0.500], [0.500, 0.500, 0.000]]}